A plane-wave DFT calculation with PBE-GGA was carried out for a relaxed structure of Tm3UC3.

Unit cell a=9.9132 b=9.9132 c=4.9933 alpha=90.00 beta=90.00 gamma=90.00
Closest atoms and distances in Å follow each position.
Positions (direct):
Tm (0.1198, 0.3759, 0.0000)  5 C 2.42-2.67
Tm (0.1241, 0.6198, 0.5000)  5 C 2.42-2.67
Tm (0.1326, 0.1326, 0.5000)  4 C 2.42-2.52
Tm (0.3674, 0.6326, 0.0000)  4 C 2.42-2.52
Tm (0.3759, 0.1198, 0.0000)  5 C 2.42-2.67
Tm (0.3802, 0.8759, 0.5000)  5 C 2.42-2.67
Tm (0.6198, 0.1241, 0.5000)  5 C 2.42-2.67
Tm (0.6241, 0.8802, 0.0000)  5 C 2.42-2.67
Tm (0.6326, 0.3674, 0.0000)  4 C 2.42-2.52
Tm (0.8674, 0.8674, 0.5000)  4 C 2.42-2.52
Tm (0.8759, 0.3802, 0.5000)  5 C 2.42-2.67
Tm (0.8802, 0.6241, 0.0000)  5 C 2.42-2.67
U (0.1259, 0.8741, 0.0000)  4 C 2.27-2.32
U (0.3741, 0.3741, 0.5000)  4 C 2.27-2.32
U (0.6259, 0.6259, 0.5000)  4 C 2.27-2.32
U (0.8741, 0.1259, 0.0000)  4 C 2.27-2.32
C (0.1075, 0.1075, 0.0000)  2 U 2.32, 2 Tm 2.52
C (0.1235, 0.6455, 0.0000)  1 U 2.27, 4 Tm 2.42-2.51
C (0.1455, 0.3765, 0.5000)  1 U 2.27, 4 Tm 2.42-2.51
C (0.3545, 0.8765, 0.0000)  1 U 2.27, 4 Tm 2.42-2.51
C (0.3765, 0.1455, 0.5000)  1 U 2.27, 4 Tm 2.42-2.51
C (0.3925, 0.6075, 0.5000)  2 U 2.32, 2 Tm 2.52
C (0.6075, 0.3925, 0.5000)  2 U 2.32, 2 Tm 2.52
C (0.6235, 0.8545, 0.5000)  1 U 2.27, 4 Tm 2.42-2.51
C (0.6455, 0.1235, 0.0000)  1 U 2.27, 4 Tm 2.42-2.51
C (0.8545, 0.6235, 0.5000)  1 U 2.27, 4 Tm 2.42-2.51
C (0.8765, 0.3545, 0.0000)  1 U 2.27, 4 Tm 2.42-2.51
C (0.8925, 0.8925, 0.0000)  2 U 2.32, 2 Tm 2.52

space group: P4_2/mnm, No. 136
total energy: -7.77 eV per atom

A plane-wave DFT calculation with PBE-GGA was carried out for a relaxed structure of Li2TbPrAu4.

Unit cell a=9.6559 b=9.6559 c=9.6559 alpha=27.63 beta=27.63 gamma=27.63
Closest atoms and distances in Å follow each position.
Positions (direct):
Li (0.2463, 0.2463, 0.2463)  6 Au 2.76-2.77
Li (0.7537, 0.7537, 0.7537)  6 Au 2.76-2.77
Tb (0.5000, 0.5000, 0.5000)  8 Au 2.98-3.05
Pr (0.0000, 0.0000, 0.0000)  8 Au 3.14-3.16
Au (0.1135, 0.1135, 0.1135)  3 Li 2.76, 3 Tb 3.05, 3 Au 3.06
Au (0.3929, 0.3929, 0.3929)  3 Li 2.77, 1 Tb 2.98, 3 Au 3.06
Au (0.6071, 0.6071, 0.6071)  3 Li 2.77, 1 Tb 2.98, 3 Au 3.06
Au (0.8865, 0.8865, 0.8865)  3 Li 2.76, 3 Tb 3.05, 3 Au 3.06

space group: R-3m, No. 166
total energy: -4.00 eV per atom

A plane-wave DFT calculation with PBE-GGA was carried out for a relaxed structure of Fe3W2.

Unit cell a=4.9739 b=4.9739 c=4.9739 alpha=50.00 beta=50.00 gamma=50.00
Closest atoms and distances in Å follow each position.
Positions (direct):
Fe (0.0000, 0.0000, 0.0000)  6 W 2.58, 2 Fe 2.64
Fe (0.2028, 0.2028, 0.2028)  4 W 2.56-2.58, 4 Fe 2.60-2.64
Fe (0.7972, 0.7972, 0.7972)  4 W 2.56-2.58, 4 Fe 2.60-2.64
W (0.4007, 0.4007, 0.4007)  7 Fe 2.56-2.58, 1 W 2.59
W (0.5993, 0.5993, 0.5993)  7 Fe 2.56-2.58, 1 W 2.59

space group: R-3m, No. 166
distance to the lowest polymorph of the same formula: 0.0325 eV per atom

A plane-wave DFT calculation with PBE-GGA was carried out for a relaxed structure of Li11Hg4Bi9.

Unit cell a=13.1706 b=13.1706 c=3.4214 alpha=90.00 beta=90.00 gamma=110.03
Closest atoms and distances in Å follow each position.
Positions (direct):
Li (0.0000, 0.0000, 0.0000)  8 Bi 3.15, 4 Li 3.42-3.49
Li (0.0640, 0.4154, 0.0000)  2 Hg 2.91, 6 Bi 3.06-3.14, 1 Li 3.22
Li (0.1617, 0.8383, 0.0000)  8 Bi 3.18, 3 Li 3.42-3.49
Li (0.2753, 0.2753, 0.0000)  4 Hg 2.94, 4 Bi 3.24
Li (0.3576, 0.6424, 0.0000)  4 Hg 3.00, 4 Bi 3.30
Li (0.4154, 0.0640, 0.0000)  2 Hg 2.91, 6 Bi 3.06-3.14, 1 Li 3.22
Li (0.5846, 0.9360, 0.0000)  2 Hg 2.91, 6 Bi 3.06-3.14, 1 Li 3.22
Li (0.6424, 0.3576, 0.0000)  4 Hg 3.00, 4 Bi 3.30
Li (0.7247, 0.7247, 0.0000)  4 Hg 2.94, 4 Bi 3.24
Li (0.8383, 0.1617, 0.0000)  8 Bi 3.18, 3 Li 3.42-3.49
Li (0.9360, 0.5846, 0.0000)  2 Hg 2.91, 6 Bi 3.06-3.14, 1 Li 3.22
Hg (0.2508, 0.4473, 0.5000)  6 Li 2.91-3.00, 2 Bi 3.11-3.20
Hg (0.4473, 0.2508, 0.5000)  6 Li 2.91-3.00, 2 Bi 3.11-3.20
Hg (0.5527, 0.7492, 0.5000)  6 Li 2.91-3.00, 2 Bi 3.11-3.20
Hg (0.7492, 0.5527, 0.5000)  6 Li 2.91-3.00, 2 Bi 3.11-3.20
Bi (0.0532, 0.2127, 0.5000)  8 Li 3.13-3.24, 1 Hg 3.29, 3 Bi 3.42-3.44
Bi (0.1393, 0.6284, 0.5000)  8 Li 3.06-3.30, 1 Hg 3.20, 2 Bi 3.42
Bi (0.2127, 0.0532, 0.5000)  8 Li 3.13-3.24, 1 Hg 3.29, 3 Bi 3.42-3.44
Bi (0.3716, 0.8607, 0.5000)  8 Li 3.06-3.30, 1 Hg 3.20, 2 Bi 3.42
Bi (0.5000, 0.5000, 0.5000)  4 Hg 3.11, 2 Bi 3.42
Bi (0.6284, 0.1393, 0.5000)  8 Li 3.06-3.30, 1 Hg 3.20, 2 Bi 3.42
Bi (0.7873, 0.9468, 0.5000)  8 Li 3.13-3.24, 1 Hg 3.29, 3 Bi 3.42-3.44
Bi (0.8607, 0.3716, 0.5000)  8 Li 3.06-3.30, 1 Hg 3.20, 2 Bi 3.42
Bi (0.9468, 0.7873, 0.5000)  8 Li 3.13-3.24, 1 Hg 3.29, 3 Bi 3.42-3.44

space group: Cmmm, No. 65
total energy: -2.71 eV per atom

A plane-wave DFT calculation with PBE-GGA was carried out for a relaxed structure of CdHgW2.

Unit cell a=3.3190 b=3.3190 c=6.9255 alpha=90.00 beta=90.00 gamma=90.00
Closest atoms and distances in Å follow each position.
Positions (direct):
Cd (0.0000, 0.0000, 0.0000)  4 Hg 3.00, 5 W 3.04-3.10, 4 Cd 3.32
Hg (0.5000, 0.5000, 0.2707)  4 Cd 3.00, 5 W 3.05-3.13, 4 Hg 3.32
W (0.0000, 0.0000, 0.5526)  4 W 2.62
W (0.5000, 0.5000, 0.7219)  4 W 2.62

space group: P4mm, No. 99
distance to the lowest polymorph of the same formula: 0.1099 eV per atom

A plane-wave DFT calculation with PBE-GGA was carried out for a relaxed structure of CePm2ThN4.

Unit cell a=6.2578 b=3.6221 c=6.2676 alpha=90.00 beta=109.49 gamma=90.00
Closest atoms and distances in Å follow each position.
Positions (direct):
Ce (0.0000, 0.0000, 0.0000)  6 N 2.52
Pm (0.5000, 0.0000, 0.5000)  6 N 2.60
Pm (0.5000, 0.5000, 0.0000)  6 N 2.59
Th (0.0000, 0.5000, 0.5000)  6 N 2.52
N (0.2393, 0.0000, 0.7468)  1 Ce 2.52, 2 Th 2.52, 3 Pm 2.59-2.60
N (0.2387, 0.5000, 0.2458)  2 Ce 2.52, 1 Th 2.52, 3 Pm 2.59-2.60
N (0.7607, 0.0000, 0.2532)  1 Ce 2.52, 2 Th 2.52, 3 Pm 2.59-2.60
N (0.7613, 0.5000, 0.7542)  2 Ce 2.52, 1 Th 2.52, 3 Pm 2.59-2.60

energy relative to the elements, uncorrected: -12.17 eV per formula unit
space group: P2/m, No. 10

A plane-wave DFT calculation with PBE-GGA was carried out for a relaxed structure of La2PaSi3Rh12.

Unit cell a=7.4895 b=7.4895 c=7.4895 alpha=66.27 beta=66.27 gamma=66.27
Closest atoms and distances in Å follow each position.
Positions (direct):
La (0.1008, 0.1008, 0.1008)  6 Rh 2.79-2.83
La (0.8992, 0.8992, 0.8992)  6 Rh 2.79-2.83
Pa (0.5000, 0.5000, 0.5000)  6 Rh 2.58
Si (0.0000, 0.5000, 0.5000)  6 Rh 2.34-2.35
Si (0.5000, 0.0000, 0.5000)  6 Rh 2.34-2.35
Si (0.5000, 0.5000, 0.0000)  6 Rh 2.34-2.35
Rh (0.1120, 0.6455, 0.6455)  1 Si 2.35, 1 Pa 2.58
Rh (0.1473, 0.1473, 0.5994)  2 Si 2.34
Rh (0.1473, 0.5994, 0.1473)  2 Si 2.34
Rh (0.3545, 0.3545, 0.8880)  1 Si 2.35, 1 Pa 2.58
Rh (0.3545, 0.8880, 0.3545)  1 Si 2.35, 1 Pa 2.58
Rh (0.4006, 0.8527, 0.8527)  2 Si 2.34
Rh (0.5994, 0.1473, 0.1473)  2 Si 2.34
Rh (0.6455, 0.1120, 0.6455)  1 Si 2.35, 1 Pa 2.58
Rh (0.6455, 0.6455, 0.1120)  1 Si 2.35, 1 Pa 2.58
Rh (0.8527, 0.4006, 0.8527)  2 Si 2.34
Rh (0.8527, 0.8527, 0.4006)  2 Si 2.34
Rh (0.8880, 0.3545, 0.3545)  1 Si 2.35, 1 Pa 2.58

energy relative to the elements, uncorrected: -6.09 eV per formula unit
space group: R-3m, No. 166

A plane-wave DFT calculation with PBE-GGA was carried out for a relaxed structure of Hg6PtIBr2.

Unit cell a=8.8465 b=7.4718 c=12.3708 alpha=90.00 beta=121.87 gamma=90.00
Closest atoms and distances in Å follow each position.
Positions (direct):
Hg (0.1574, 0.1414, 0.2324)  1 Pt 2.66, 1 Hg 2.95
Hg (0.1574, 0.3586, 0.7324)  1 Pt 2.66, 1 Hg 2.95
Hg (0.2215, 0.7395, 0.1266)  1 Pt 2.62, 1 Br 2.64
Hg (0.2215, 0.7605, 0.6266)  1 Pt 2.62, 1 Br 2.64
Hg (0.2363, 0.1942, 0.9739)  1 Pt 2.70, 1 Hg 2.95
Hg (0.2363, 0.3058, 0.4739)  1 Pt 2.70, 1 Hg 2.95
Hg (0.7637, 0.6942, 0.5261)  1 Pt 2.70, 1 Hg 2.95
Hg (0.7637, 0.8058, 0.0261)  1 Pt 2.70, 1 Hg 2.95
Hg (0.7785, 0.2395, 0.3734)  1 Pt 2.62, 1 Br 2.64
Hg (0.7785, 0.2605, 0.8734)  1 Pt 2.62, 1 Br 2.64
Hg (0.8426, 0.6414, 0.2676)  1 Pt 2.66, 1 Hg 2.95
Hg (0.8426, 0.8586, 0.7676)  1 Pt 2.66, 1 Hg 2.95
Pt (0.0000, 0.0000, 0.0000)  6 Hg 2.62-2.70
Pt (0.0000, 0.5000, 0.5000)  6 Hg 2.62-2.70
I (0.5000, 0.0000, 0.5000)  4 Hg 3.16-3.27
I (0.5000, 0.5000, 0.0000)  4 Hg 3.16-3.27
Br (0.4052, 0.0130, 0.7957)  1 Hg 2.64
Br (0.4052, 0.4870, 0.2957)  1 Hg 2.64
Br (0.5948, 0.5130, 0.7043)  1 Hg 2.64
Br (0.5948, 0.9870, 0.2043)  1 Hg 2.64

energy relative to the elements, uncorrected: -1.72 eV per formula unit
space group: P2_1/c, No. 14

A plane-wave DFT calculation with PBE-GGA was carried out for a relaxed structure of Ba2ZnHg8.

Unit cell a=9.1998 b=9.1998 c=7.5528 alpha=112.64 beta=112.64 gamma=33.60
Closest atoms and distances in Å follow each position.
Positions (direct):
Ba (0.2105, 0.2105, 0.2066)  10 Hg 3.47-3.79
Ba (0.7895, 0.7895, 0.7934)  10 Hg 3.47-3.79
Zn (0.5000, 0.5000, 0.5000)  4 Hg 2.80-2.85
Hg (0.0006, 0.0006, 0.2106)  7 Hg 3.16-3.26, 2 Zn 3.44
Hg (0.1420, 0.1420, 0.6371)  6 Hg 3.16-3.51, 2 Zn 3.51
Hg (0.3832, 0.3832, 0.6643)  1 Zn 2.80
Hg (0.3914, 0.3914, 0.0997)  1 Zn 2.85, 2 Hg 3.19
Hg (0.6086, 0.6086, 0.9003)  1 Zn 2.85, 2 Hg 3.19
Hg (0.6168, 0.6168, 0.3357)  1 Zn 2.80
Hg (0.8580, 0.8580, 0.3629)  6 Hg 3.16-3.51, 2 Zn 3.51
Hg (0.9994, 0.9994, 0.7894)  7 Hg 3.16-3.26, 2 Zn 3.44

space group: C2/m, No. 12
total energy: -0.97 eV per atom

A plane-wave DFT calculation with PBE-GGA was carried out for a relaxed structure of Li2CeBiS4.

Unit cell a=6.6517 b=4.0529 c=6.9628 alpha=90.00 beta=110.27 gamma=90.00
Closest atoms and distances in Å follow each position.
Positions (direct):
Li (0.0000, 0.0000, 0.0000)  6 S 2.75-2.79
Li (0.0000, 0.5000, 0.5000)  6 S 2.76-2.78
Ce (0.5000, 0.0000, 0.5000)  6 S 2.83-2.84
Bi (0.5000, 0.5000, 0.0000)  6 S 2.83-2.84
S (0.2392, 0.0000, 0.7477)  3 Li 2.75-2.78, 1 Ce 2.84, 2 Bi 2.84
S (0.2422, 0.5000, 0.2490)  3 Li 2.76-2.79, 1 Bi 2.83, 2 Ce 2.83
S (0.7578, 0.5000, 0.7510)  3 Li 2.76-2.79, 1 Bi 2.83, 2 Ce 2.83
S (0.7608, 0.0000, 0.2523)  3 Li 2.75-2.78, 1 Ce 2.84, 2 Bi 2.84

energy relative to the elements, uncorrected: -9.82 eV per formula unit
space group: P2/m, No. 10

A plane-wave DFT calculation with PBE-GGA was carried out for a relaxed structure of Rb2CoSb2.

Unit cell a=11.2328 b=11.2328 c=11.2328 alpha=157.91 beta=157.91 gamma=31.44
Closest atoms and distances in Å follow each position.
Positions (direct):
Rb (0.1018, 0.1018, 0.0000)  4 Co 3.76, 4 Sb 3.86
Rb (0.8982, 0.8982, 0.0000)  4 Co 3.76, 4 Sb 3.86
Co (0.5000, 0.5000, 0.0000)  8 Rb 3.76
Sb (0.2500, 0.7500, 0.5000)  4 Sb 3.04
Sb (0.7500, 0.2500, 0.5000)  4 Sb 3.04

energy relative to the elements, uncorrected: 2.73 eV per formula unit
space group: I4/mmm, No. 139